[1]
Computed, not measured: a relaxed Tc2AgRhO8 crystal at the PBE level of DFT.

abc: 5.350 5.350 7.216
angles: 90.00 90.00 120.00
Positions (direct):
Tc: 0.667 0.333 0.246
Tc: 0.333 0.667 0.754
Ag: 0.000 0.000 0.000
Rh: 0.000 0.000 0.500
O: 0.333 0.667 0.996
O: 0.327 0.282 0.328
O: 0.718 0.046 0.328
O: 0.667 0.333 0.004
O: 0.282 0.954 0.672
O: 0.673 0.718 0.672
O: 0.046 0.327 0.672
O: 0.954 0.673 0.328

## Properties
* Fermi-level density of states: 7.6 states/eV per cell
* space-group type: P-3
* formation energy from raw total energies: -11.5 eV/f.u.
* mass density: 4.96 g cm⁻³

***

[2]
Computed, not measured: a relaxed Y2Sn2Te crystal at the PBE level of DFT.

abc: 5.924 5.924 6.188
angles: 61.40 61.40 90.00
Positions (direct):
Y: 0.750 0.250 0.500
Y: 0.250 0.750 0.500
Te: 0.000 0.000 0.000
Sn: 0.340 0.340 0.319
Sn: 0.660 0.660 0.681

## Properties
* Fermi-level density of states: 4.1 states/eV per cell
* space-group type: I4/mmm
* formation energy from raw total energies: -1.9 eV/f.u.
* mass density: 5.64 g cm⁻³

***

[3]
Computed, not measured: a relaxed Te2RhI crystal at the PBE level of DFT.

abc: 4.282 4.282 5.872
angles: 90.00 90.00 90.00
Positions (direct):
I: 0.500 0.500 0.000
Te: 0.500 0.500 0.500
Te: 0.000 0.000 0.000
Rh: 0.000 0.000 0.500

## Properties
* Fermi-level density of states: 2.7 states/eV per cell
* space-group type: P4/mmm
* formation energy from raw total energies: 1.7 eV/f.u.
* mass density: 7.48 g cm⁻³

***

[4]
Computed, not measured: a relaxed KBeAu2 crystal at the PBE level of DFT.

abc: 5.311 5.311 8.406
angles: 48.16 48.16 39.40
Positions (direct):
Be: 0.750 0.750 0.750
K: 0.250 0.250 0.250
Au: 0.106 0.106 0.754
Au: 0.394 0.394 0.746

## Properties
* Fermi-level density of states: 0.5 states/eV per cell
* space-group type: C2/m
* mass density: 6.91 g cm⁻³
* ΔE_f: -139 meV per atom